Record 1
# Ba2CoNiO

A relaxed structure of Ba2CoNiO (PBEsol, the Alexandria database).

Summary:
* ΔE_f (raw): 0.52 eV/f.u.

a = 5.5588 Å, b = 5.5588 Å, c = 4.1810 Å
α = 90.00°, β = 90.00°, γ = 90.00°
Positions (direct):
Ba: 0.0000 0.5000 0.0000
Ba: 0.5000 0.0000 0.0000
Co: 0.0000 0.0000 0.5000
Ni: 0.0000 0.0000 0.0000
O: 0.5000 0.5000 0.5000

=====

Record 2
# ZrTaZn4

A relaxed structure of ZrTaZn4 (PBEsol, the Alexandria database).

Summary:
* E_form: -1.13 eV per formula unit

a = 5.0496 Å, b = 5.0496 Å, c = 5.0496 Å
α = 60.00°, β = 60.00°, γ = 60.00°
Positions (direct):
Zr: 0.0000 0.0000 0.0000
Ta: 0.7500 0.7500 0.7500
Zn: 0.3754 0.3754 0.3754
Zn: 0.3754 0.3754 0.8738
Zn: 0.3754 0.8738 0.3754
Zn: 0.8738 0.3754 0.3754

=====

Record 3
# Cd2TcAuS

A relaxed structure of Cd2TcAuS (PBEsol, the Alexandria database).

Summary:
* ΔE_f (raw): 6.04 eV/f.u.

a = 4.8958 Å, b = 4.8958 Å, c = 4.6111 Å
α = 90.00°, β = 90.00°, γ = 90.00°
Positions (direct):
Cd: 0.0000 0.5000 0.0000
Cd: 0.5000 0.0000 0.0000
Tc: 0.0000 0.0000 0.5000
Au: 0.5000 0.5000 0.5000
S: 0.5000 0.5000 0.0000

=====

Record 4
# CdTePb2

A relaxed structure of CdTePb2 (PBEsol, the Alexandria database).

Summary:
* ΔE_f (raw): -0.11 eV/f.u.

a = 6.2376 Å, b = 6.2376 Å, c = 6.2376 Å
α = 143.49°, β = 128.67°, γ = 64.62°
Positions (direct):
Cd: 0.0000 0.0000 0.0000
Te: 0.7762 0.2762 0.5000
Pb: 0.2417 0.7417 0.5000
Pb: 0.5266 0.5266 0.0000

=====

Record 5
# Zn2CuAs

A relaxed structure of Zn2CuAs (PBEsol, the Alexandria database).

Summary:
* E_form: 0.43 eV per formula unit

a = 4.9660 Å, b = 4.9660 Å, c = 4.4281 Å
α = 93.68°, β = 93.68°, γ = 32.49°
Positions (direct):
Zn: 0.2413 0.2413 0.2380
Zn: 0.7587 0.7587 0.7620
Cu: 0.5000 0.5000 0.0000
As: 0.0000 0.0000 0.5000

=====

Record 6
# NaCa2In2

A relaxed structure of NaCa2In2 (PBEsol, the Alexandria database).

Summary:
* E_form: -1.65 eV per formula unit

a = 8.9392 Å, b = 8.9392 Å, c = 3.7152 Å
α = 90.00°, β = 90.00°, γ = 90.00°
Positions (direct):
Na: 0.0000 0.0000 0.0000
Na: 0.5000 0.5000 0.0000
Ca: 0.1776 0.3224 0.5000
Ca: 0.3224 0.8224 0.5000
Ca: 0.6776 0.1776 0.5000
Ca: 0.8224 0.6776 0.5000
In: 0.1187 0.6187 0.0000
In: 0.3813 0.1187 0.0000
In: 0.6187 0.8813 0.0000
In: 0.8813 0.3813 0.0000

=====

| no. | electronic total energy (eV/atom) | volume (A^3/atom) |
| --- | --- | --- |
| 1 | -4.5849 | 25.8 |
| 2 | -4.8500 | 15.2 |
| 3 | -3.1866 | 22.1 |
| 4 | -3.2074 | 27.8 |
| 5 | -3.0428 | 14.6 |
| 6 | -2.6557 | 29.7 |